# HfVMoRh | Alexandria | PBE | relaxed
# **Energy of formation from the pure elements**: -0.352 eV/atom
# **Space group**: F-43m (216)
# **VASP energy**: -9.67 eV/atom
data_HfVMoRh
_space_group_name_H-M_alt 'P 1'
_space_group_IT_number 1
_cell_length_a 4.4761
_cell_length_b 4.4761
_cell_length_c 4.4761
_cell_angle_alpha 60.00
_cell_angle_beta 60.00
_cell_angle_gamma 60.00
loop_
_space_group_symop_operation_xyz
'x,y,z'
loop_
_atom_site_label
_atom_site_fract_x
_atom_site_fract_y
_atom_site_fract_z
Mo1 0.5000 0.5000 0.5000
Hf1 0.7500 0.7500 0.7500
V1 0.2500 0.2500 0.2500
Rh1 0.0000 0.0000 0.0000

---

# Pm4HoPt5 | Alexandria | PBE | relaxed
# **Energy of formation from the pure elements**: -1.111 eV/atom
# **Space group**: P4/mmm (123)
# **VASP energy**: -6.49 eV/atom
data_Pm4HoPt5
_space_group_name_H-M_alt 'P 1'
_space_group_IT_number 1
_cell_length_a 3.5445
_cell_length_b 3.5445
_cell_length_c 18.0141
_cell_angle_alpha 90.00
_cell_angle_beta 90.00
_cell_angle_gamma 90.00
loop_
_space_group_symop_operation_xyz
'x,y,z'
loop_
_atom_site_label
_atom_site_fract_x
_atom_site_fract_y
_atom_site_fract_z
Pt1 0.5000 0.5000 0.5000
Pt2 0.5000 0.5000 0.2973
Pt3 0.5000 0.5000 0.7027
Pt4 0.5000 0.5000 0.0924
Pt5 0.5000 0.5000 0.9076
Pm1 0.0000 0.0000 0.6012
Pm2 0.0000 0.0000 0.3988
Pm3 0.0000 0.0000 0.1961
Pm4 0.0000 0.0000 0.8039
Ho1 0.0000 0.0000 0.0000

---

# Tl2Cr2PdS6 | Alexandria | PBE | relaxed
# **Formation energy without anion corrections**: -0.471 eV per atom
# **Space group**: C2/m (12)
# **VASP energy**: -5.37 eV/atom
data_Tl2Cr2PdS6
_space_group_name_H-M_alt 'P 1'
_space_group_IT_number 1
_cell_length_a 6.1749
_cell_length_b 6.1749
_cell_length_c 7.6918
_cell_angle_alpha 97.96
_cell_angle_beta 97.96
_cell_angle_gamma 120.16
loop_
_space_group_symop_operation_xyz
'x,y,z'
loop_
_atom_site_label
_atom_site_fract_x
_atom_site_fract_y
_atom_site_fract_z
S1 0.9389 0.6049 0.3268
S2 0.0611 0.3951 0.6732
S3 0.6049 0.9389 0.3268
S4 0.7242 0.7242 0.6724
S5 0.3951 0.0611 0.6732
S6 0.2758 0.2758 0.3276
Cr1 0.3316 0.6684 0.5000
Cr2 0.6684 0.3316 0.5000
Pd1 0.0000 0.0000 0.5000
Tl1 0.1690 0.8310 0.0000
Tl2 0.8310 0.1690 0.0000

---

# La2Zr4Rh | Alexandria | PBE | relaxed
# **Energy of formation from the pure elements**: 0.368 eV/atom
# **Space group**: I4/mmm (139)
# **VASP energy**: -6.98 eV/atom
data_La2Zr4Rh
_space_group_name_H-M_alt 'P 1'
_space_group_IT_number 1
_cell_length_a 5.0214
_cell_length_b 5.0214
_cell_length_c 8.9642
_cell_angle_alpha 73.74
_cell_angle_beta 73.74
_cell_angle_gamma 90.00
loop_
_space_group_symop_operation_xyz
'x,y,z'
loop_
_atom_site_label
_atom_site_fract_x
_atom_site_fract_y
_atom_site_fract_z
La1 0.6470 0.6470 0.7060
La2 0.3530 0.3530 0.2940
Rh1 0.0000 0.0000 0.0000
Zr1 0.5000 0.0000 0.0000
Zr2 0.0000 0.5000 0.0000
Zr3 0.1577 0.1577 0.6846
Zr4 0.8423 0.8423 0.3154

---

# HfZnHg2C | Alexandria | PBE | relaxed
# **Energy of formation from the pure elements**: 1.744 eV/atom
# **Space group**: P4/mmm (123)
# **VASP energy**: -2.47 eV/atom
data_HfZnHg2C
_space_group_name_H-M_alt 'P 1'
_space_group_IT_number 1
_cell_length_a 4.7752
_cell_length_b 5.1982
_cell_length_c 4.7752
_cell_angle_alpha 90.00
_cell_angle_beta 90.00
_cell_angle_gamma 90.00
loop_
_space_group_symop_operation_xyz
'x,y,z'
loop_
_atom_site_label
_atom_site_fract_x
_atom_site_fract_y
_atom_site_fract_z
C1 0.5000 0.5000 0.5000
Hf1 0.0000 0.5000 0.0000
Hg1 0.0000 0.0000 0.5000
Hg2 0.5000 0.0000 0.0000
Zn1 0.0000 0.0000 0.0000

---

# BaY2GeN4 | Alexandria | PBE | relaxed
# **Formation energy without anion corrections**: -1.024 eV per atom
# **Space group**: Cmcm (63)
# **VASP energy**: -7.62 eV/atom
data_BaY2GeN4
_space_group_name_H-M_alt 'P 1'
_space_group_IT_number 1
_cell_length_a 3.4666
_cell_length_b 6.3808
_cell_length_c 11.9084
_cell_angle_alpha 90.00
_cell_angle_beta 90.00
_cell_angle_gamma 105.76
loop_
_space_group_symop_operation_xyz
'x,y,z'
loop_
_atom_site_label
_atom_site_fract_x
_atom_site_fract_y
_atom_site_fract_z
N1 0.7422 0.4844 0.8829
N2 0.4061 0.8122 0.7500
N3 0.5939 0.1878 0.2500
N4 0.7422 0.4844 0.6171
N5 0.0000 0.0000 0.0000
N6 0.2578 0.5156 0.3829
N7 0.0000 0.0000 0.5000
N8 0.2578 0.5156 0.1171
Y1 0.6307 0.2614 0.4606
Y2 0.3693 0.7386 0.5394
Y3 0.3693 0.7386 0.9606
Y4 0.6307 0.2614 0.0394
Ba1 0.0899 0.1798 0.7500
Ba2 0.9101 0.8202 0.2500
Ge1 0.8187 0.6374 0.7500
Ge2 0.1813 0.3626 0.2500